Entry P
First-principles (GGA-PBE) data for a geometry-optimized Cu2Ag3 structure, as listed in OQMD via LeMat-Bulk.

a = 14.664 Å, b = 2.851 Å, c = 7.754 Å
α = 90.00°, β = 105.52°, γ = 90.00°
Space group Cm (No. 8)
Inequivalent atoms, fractional coordinates:
Cu  0.000  0.000  0.000 x2
Cu  0.096  0.500  0.835 x2
Cu  0.193  0.000  0.107 x2
Cu  0.291  0.500  0.396 x2
Ag  0.000  0.000  0.525 x2
Ag  0.096  0.500  0.288 x2
Ag  0.195  0.000  0.603 x2
Ag  0.289  0.500  0.917 x2
Ag  0.395  0.000  0.214 x2
Ag  0.395  0.000  0.715 x2

=====

Entry Q
First-principles (GGA-PBE) data for a geometry-optimized Cu2Ag3 structure, as listed in OQMD via LeMat-Bulk.

a = 2.865 Å, b = 3.675 Å, c = 14.771 Å
α = 90.00°, β = 90.00°, γ = 90.00°
Space group Immm (No. 71)
Inequivalent atoms, fractional coordinates:
Cu  0.000  0.000  0.208 x4
Ag  0.000  0.000  0.000 x2
Ag  0.000  0.000  0.388 x4

=====

Entry R
First-principles (GGA-PBE) data for a geometry-optimized Cu2Ag3 structure, as listed in OQMD via LeMat-Bulk.

a = 19.493 Å, b = 2.877 Å, c = 5.701 Å
α = 90.00°, β = 99.53°, γ = 90.00°
Space group C2/m (No. 12)
Inequivalent atoms, fractional coordinates:
Cu  0.105  0.000  0.296 x4
Cu  0.203  0.500  0.105 x4
Ag  0.000  0.500  0.000 x2
Ag  0.000  0.500  0.500 x2
Ag  0.105  0.000  0.818 x4
Ag  0.200  0.500  0.599 x4

=====

entry Q is favored, and the nearest alternative lies 1.2 kJ/mol of atoms above it.